Record 1
Entry from Alexandria: FeSbOs at its PBEsol-relaxed geometry (meta-GGA SCAN).

Cell and atoms, written as extended XYZ:
```
3
Lattice="4.2298 0.0000 0.0000 -2.1149 3.6631 0.0000 0.0000 0.0000 2.9108" Properties=species:S:1:pos:R:3 pbc="T T T"
Fe 0.0000 0.0000 0.0000
Sb 2.1149 1.2210 2.5917
Os 0.0000 2.4421 1.3545
```

Crystal system: trigonal
D(E_F): 1.9 states/eV/cell
Formation energy from raw total energies: 0.64 eV/atom
Symmetry: P3m1

=====

Record 2
Entry from Alexandria: MgSi2Ir at its PBEsol-relaxed geometry (meta-GGA SCAN).

Cell and atoms, written as extended XYZ:
```
4
Lattice="-1.9020 1.9020 3.8937 1.9020 -1.9020 3.8937 1.9020 1.9020 -3.8937" Properties=species:S:1:pos:R:3 pbc="T T T"
Mg 0.0000 0.0000 0.0000
Si 0.0000 0.0000 3.8937
Si 0.0000 1.9020 1.9468
Ir 1.9020 0.0000 1.9468
```

Crystal system: tetragonal
D(E_F): 2.2 states/eV/cell
Formation energy from raw total energies: -0.07 eV/atom
Symmetry: I-4m2

=====

Record 3
Entry from Alexandria: KY2Os at its PBEsol-relaxed geometry (meta-GGA SCAN).

Cell and atoms, written as extended XYZ:
```
4
Lattice="-2.2223 2.8306 3.8302 2.2223 -2.8306 3.8302 2.2223 2.8306 -3.8302" Properties=species:S:1:pos:R:3 pbc="T T T"
K 0.0000 0.0000 0.0000
Y 2.2223 0.0000 2.1322
Y 0.0000 2.8306 1.6980
Os 0.0000 0.0000 3.8302
```

Crystal system: orthorhombic
D(E_F): 2.0 states/eV/cell
Symmetry: Immm
Energy above the most stable polymorph in this dataset: 21 meV per atom
Formation energy from the elements: 320.7 meV per atom

=====

Record 4
Entry from Alexandria: Rh at its PBEsol-relaxed geometry (meta-GGA SCAN).

Cell and atoms, written as extended XYZ:
```
2
Lattice="-2.3609 2.3609 1.3379 2.3609 -2.3609 1.3379 2.3609 2.3609 -1.3379" Properties=species:S:1:pos:R:3 pbc="T T T"
Rh 2.3609 1.1804 0.3345
Rh 0.0000 1.1804 1.0034
```

Crystal system: tetragonal
D(E_F): 2.6 states/eV/cell
Symmetry: I4_1/amd
Energy above the most stable polymorph in this dataset: 557 meV per atom
Formation energy from the elements: 556.9 meV per atom

=====

Record 5
Entry from Alexandria: TlReAu2 at its PBEsol-relaxed geometry (meta-GGA SCAN).

Cell and atoms, written as extended XYZ:
```
4
Lattice="0.0000 3.2803 3.2803 3.2803 0.0000 3.2803 3.2803 3.2803 0.0000" Properties=species:S:1:pos:R:3 pbc="T T T"
Tl 0.0000 0.0000 0.0000
Re 1.6402 1.6402 1.6402
Au 3.2803 3.2803 3.2803
Au 4.9205 4.9205 4.9205
```

Crystal system: cubic
D(E_F): 2.4 states/eV/cell
Symmetry: F-43m
Energy above the most stable polymorph in this dataset: 257 meV per atom
Formation energy from the elements: 889.5 meV per atom

=====

Record 6
Entry from Alexandria: TlAg2Ru at its PBEsol-relaxed geometry (meta-GGA SCAN).

Cell and atoms, written as extended XYZ:
```
4
Lattice="3.3205 0.0000 0.0000 0.0000 3.3205 0.0000 0.0000 0.0000 6.1948" Properties=species:S:1:pos:R:3 pbc="T T T"
Tl 0.0000 0.0000 0.0000
Ag 0.0000 0.0000 3.2209
Ag 1.6602 1.6602 1.7652
Ru 1.6602 1.6602 4.7663
```

Crystal system: tetragonal
D(E_F): 2.8 states/eV/cell
Symmetry: P4mm
Energy above the most stable polymorph in this dataset: 24 meV per atom
Formation energy from the elements: 511.1 meV per atom

=====

Record 7
Entry from Alexandria: Ga3PC at its PBEsol-relaxed geometry (meta-GGA SCAN).

Cell and atoms, written as extended XYZ:
```
5
Lattice="4.2155 0.0000 0.0000 0.0000 4.2155 0.0000 0.0000 0.0000 4.2155" Properties=species:S:1:pos:R:3 pbc="T T T"
Ga 0.0000 0.0000 2.1077
Ga 0.0000 2.1077 0.0000
Ga 2.1077 0.0000 0.0000
P 2.1077 2.1077 2.1077
C 0.0000 0.0000 0.0000
```

Crystal system: cubic
D(E_F): 1.1 states/eV/cell
Symmetry: Pm-3m
Formation energy from the elements: 725.0 meV per atom

=====

Record 8
Entry from Alexandria: RbSrInSb2 at its PBEsol-relaxed geometry (meta-GGA SCAN).

Cell and atoms, written as extended XYZ:
```
5
Lattice="5.7747 0.0000 0.0000 0.0000 5.7747 0.0000 0.0000 0.0000 5.7576" Properties=species:S:1:pos:R:3 pbc="T T T"
Rb 0.0000 0.0000 0.0000
Sr 2.8873 2.8873 0.0000
In 0.0000 0.0000 2.8788
Sb 0.0000 2.8873 2.8788
Sb 2.8873 0.0000 2.8788
```

Crystal system: tetragonal
D(E_F): 2.5 states/eV/cell
Formation energy from raw total energies: 0.02 eV/atom
Symmetry: P4/mmm

=====

Which of these has the lowest D(E_F)?
Ga3PC

=====

Copy entry 3 word for word.
Entry from Alexandria: KY2Os at its PBEsol-relaxed geometry (meta-GGA SCAN).

Cell and atoms, written as extended XYZ:
```
4
Lattice="-2.2223 2.8306 3.8302 2.2223 -2.8306 3.8302 2.2223 2.8306 -3.8302" Properties=species:S:1:pos:R:3 pbc="T T T"
K 0.0000 0.0000 0.0000
Y 2.2223 0.0000 2.1322
Y 0.0000 2.8306 1.6980
Os 0.0000 0.0000 3.8302
```

Crystal system: orthorhombic
D(E_F): 2.0 states/eV/cell
Symmetry: Immm
Energy above the most stable polymorph in this dataset: 21 meV per atom
Formation energy from the elements: 320.7 meV per atom

=====

Please write out number 7 again, unchanged.
Entry from Alexandria: Ga3PC at its PBEsol-relaxed geometry (meta-GGA SCAN).

Cell and atoms, written as extended XYZ:
```
5
Lattice="4.2155 0.0000 0.0000 0.0000 4.2155 0.0000 0.0000 0.0000 4.2155" Properties=species:S:1:pos:R:3 pbc="T T T"
Ga 0.0000 0.0000 2.1077
Ga 0.0000 2.1077 0.0000
Ga 2.1077 0.0000 0.0000
P 2.1077 2.1077 2.1077
C 0.0000 0.0000 0.0000
```

Crystal system: cubic
D(E_F): 1.1 states/eV/cell
Symmetry: Pm-3m
Formation energy from the elements: 725.0 meV per atom

=====

Which of these has the lowest D(E_F)?
Ga3PC